#a
Material: LiReMo
Method: DFT, PBE-GGA
State: optimized geometry

Cell: 7.3397 7.1655 2.6506 Å, 83.20 75.79 21.01°
Last column: nearest neighbours and their distance in Å.
Atoms (fractional coordinates):
Li1 0.0000 0.0000 0.0000  4 Li 2.65, 2 Re 2.75, 2 Mo 2.87
Re1 0.6643 0.6643 0.3357  4 Re 2.65, 2 Mo 2.71, 2 Li 2.75
Mo1 0.3254 0.3254 0.6746  4 Mo 2.65, 2 Re 2.71, 2 Li 2.87

## Properties
Space-group type: No. 42

#b
Material: LiReMo
Method: DFT, PBE-GGA
State: optimized geometry

Cell: 4.3964 4.3964 2.5993 Å, 90.00 90.00 120.00°
Last column: nearest neighbours and their distance in Å.
Atoms (fractional coordinates):
Li1 0.0000 0.0000 0.0000  2 Li 2.60, 3 Re 2.70, 3 Mo 2.70
Re1 0.3333 0.6667 0.6457  2 Re 2.60, 3 Mo 2.65, 3 Li 2.70
Mo1 0.6667 0.3333 0.3549  2 Mo 2.60, 3 Re 2.65, 3 Li 2.70

## Properties
Space-group type: No. 156

#c
Material: LiReMo
Method: DFT, PBE-GGA
State: optimized geometry

Cell: 7.1092 7.1092 7.1092 Å, 159.05 159.05 29.79°
Last column: nearest neighbours and their distance in Å.
Atoms (fractional coordinates):
Li1 0.0000 0.0000 0.0000  4 Li 2.58, 4 Re 2.86
Re1 0.6601 0.6601 0.0000  4 Re 2.58, 4 Li 2.86
Mo1 0.3279 0.3279 0.0000  4 Mo 2.58

## Properties
Space-group type: No. 107

Order from most stable to least stable according to the calculation: #b, #a, #c